A relaxed structure of Eu2GdGa, computed with PBE.

Calculated formation energy ... -1.0 kcal/mol of atoms
Electronic total energy ... -9.46 eV per atom

abc: 5.5167 5.5167 13.4833
angles: 90.00 90.00 120.00
Space group R-3m (No. 166, hexagonal axes)
Unique sites:
Eu (0.0000, 0.0000, 0.2503)
Gd (0.0000, 0.0000, 0.0000)
Ga (0.0000, 0.0000, 0.5000)